No. 1
The following is a DFT calculation (PBE-GGA) of VPdS2 after structural relaxation.

a b c (Å): 3.098 19.358 4.348
angles (deg): 90.00 90.00 90.00
Space group Cmcm (No. 63)
Unique sites:
V1 0.000 0.048 0.250 [4 per cell]
Pd1 0.000 0.316 0.250 [4 per cell]
S1 0.000 0.069 0.750 [4 per cell]
S2 0.000 0.182 0.250 [4 per cell]

Properties
* VASP energy: -0.421 Ry per atom
* DOS at the Fermi energy: 14.00 states/eV/cell

***

No. 2
The following is a DFT calculation (PBE-GGA) of SrScI2 after structural relaxation.

a b c (Å): 5.760 5.760 19.530
angles (deg): 90.00 90.00 90.00
Space group I-42d (No. 122)
Unique sites:
Sr1 0.000 0.000 0.000 [4 per cell]
Sc1 0.000 0.000 0.500 [4 per cell]
I1 0.214 0.250 0.625 [8 per cell]

Properties
* VASP energy: -0.243 Ry per atom
* distance to the lowest polymorph of the same formula: 0.79 eV/f.u.
* DOS at the Fermi energy: 28.25 states/eV/cell

***

No. 3
The following is a DFT calculation (PBE-GGA) of Dy4Se3O2 after structural relaxation.

a b c (Å): 12.753 3.872 8.735
angles (deg): 90.00 121.77 90.00
Space group C2/m (No. 12)
Unique sites:
Dy1 0.111 0.000 0.402 [4 per cell]
Dy2 0.184 0.500 0.106 [4 per cell]
Se1 0.000 0.000 0.000 [2 per cell]
Se2 0.114 0.500 0.720 [4 per cell]
O1 0.188 0.500 0.370 [4 per cell]

Properties
* VASP energy: -0.496 Ry per atom
* distance to the lowest polymorph of the same formula: 0.00 eV/f.u.
* DOS at the Fermi energy: 4.84 states/eV/cell

***

No. 4
The following is a DFT calculation (PBE-GGA) of Sr3YI after structural relaxation.

a b c (Å): 6.287 6.287 6.287
angles (deg): 90.00 90.00 90.00
Space group Pm-3m (No. 221)
Unique sites:
Sr1 0.000 0.000 0.500 [3 per cell]
Y1 0.500 0.500 0.500 [1 per cell]
I1 0.000 0.000 0.000 [1 per cell]

Properties
* VASP energy: -0.191 Ry per atom
* distance to the lowest polymorph of the same formula: 0.00 eV/f.u.
* DOS at the Fermi energy: 9.51 states/eV/cell

***

No. 5
The following is a DFT calculation (PBE-GGA) of SmPt3O6 after structural relaxation.

a b c (Å): 7.170 10.218 3.549
angles (deg): 90.00 90.00 90.00
Space group Cmmm (No. 65)
Unique sites:
Sm1 0.000 0.000 0.000 [2 per cell]
Pt1 0.000 0.500 0.000 [2 per cell]
Pt2 0.250 0.250 0.500 [4 per cell]
O1 0.000 0.154 0.500 [4 per cell]
O2 0.207 0.368 0.000 [8 per cell]

Properties
* VASP energy: -0.473 Ry per atom
* DOS at the Fermi energy: 8.12 states/eV/cell

***

No. 6
The following is a DFT calculation (PBE-GGA) of LaRe2Hg after structural relaxation.

a b c (Å): 6.796 6.796 6.796
angles (deg): 90.00 90.00 90.00
Space group Fm-3m (No. 225)
Unique sites:
La1 0.000 0.000 0.000 [4 per cell]
Re1 0.250 0.250 0.250 [8 per cell]
Hg1 0.000 0.000 0.500 [4 per cell]

Properties
* VASP energy: -0.471 Ry per atom
* distance to the lowest polymorph of the same formula: 3.77 eV/f.u.
* DOS at the Fermi energy: 18.92 states/eV/cell

***

No. 7
The following is a DFT calculation (PBE-GGA) of TbTm2Au after structural relaxation.

a b c (Å): 3.549 3.549 8.605
angles (deg): 90.00 90.00 90.00
Space group P4/mmm (No. 123)
Unique sites:
Tb1 0.000 0.000 0.000 [1 per cell]
Tm1 0.500 0.500 0.295 [2 per cell]
Au1 0.000 0.000 0.500 [1 per cell]

Properties
* VASP energy: -0.340 Ry per atom
* distance to the lowest polymorph of the same formula: 0.18 eV/f.u.
* DOS at the Fermi energy: 5.30 states/eV/cell

***

No. 8
The following is a DFT calculation (PBE-GGA) of Th2Te4I after structural relaxation.

a b c (Å): 9.537 9.953 13.513
angles (deg): 90.00 90.00 90.00
Space group Imm2 (No. 44)
Unique sites:
Th1 0.000 0.232 0.000 [4 per cell]
Th2 0.245 0.500 0.219 [4 per cell]
Te1 0.000 0.209 0.754 [4 per cell]
Te2 0.000 0.306 0.239 [4 per cell]
Te3 0.205 0.500 0.992 [4 per cell]
Te4 0.228 0.000 0.949 [4 per cell]
I1 0.000 0.000 0.158 [2 per cell]
I2 0.000 0.500 0.710 [2 per cell]

Properties
* VASP energy: -0.369 Ry per atom
* DOS at the Fermi energy: 2.10 states/eV/cell

***

No. 9
The following is a DFT calculation (PBE-GGA) of MnTl2HgMo after structural relaxation.

a b c (Å): 5.623 5.623 5.134
angles (deg): 90.00 90.00 90.00
Space group P4/mmm (No. 123)
Unique sites:
Mn1 0.000 0.000 0.000 [1 per cell]
Tl1 0.000 0.500 0.500 [2 per cell]
Hg1 0.000 0.000 0.500 [1 per cell]
Mo1 0.500 0.500 0.000 [1 per cell]

Properties
* VASP energy: -0.257 Ry per atom
* DOS at the Fermi energy: 4.10 states/eV/cell

***

No. 10
The following is a DFT calculation (PBE-GGA) of CeCd2Au4 after structural relaxation.

a b c (Å): 9.152 7.228 5.606
angles (deg): 90.00 127.61 90.00
Space group C2/m (No. 12)
Unique sites:
Ce1 0.000 0.000 0.000 [2 per cell]
Cd1 0.001 0.500 0.751 [4 per cell]
Au1 0.196 0.196 0.695 [8 per cell]

Properties
* VASP energy: -0.253 Ry per atom
* DOS at the Fermi energy: 18.11 states/eV/cell

***

No. 11
The following is a DFT calculation (PBE-GGA) of In2SiNi after structural relaxation.

a b c (Å): 4.814 4.814 3.227
angles (deg): 90.00 90.00 90.00
Space group P4/mmm (No. 123)
Unique sites:
In1 0.000 0.500 0.000 [2 per cell]
Si1 0.000 0.000 0.500 [1 per cell]
Ni1 0.500 0.500 0.500 [1 per cell]

Properties
* VASP energy: -0.280 Ry per atom
* DOS at the Fermi energy: 2.26 states/eV/cell

***

No. 12
The following is a DFT calculation (PBE-GGA) of RbAl2NiBi after structural relaxation.

a b c (Å): 5.746 5.746 4.716
angles (deg): 90.00 90.00 90.00
Space group P4/mmm (No. 123)
Unique sites:
Rb1 0.000 0.000 0.000 [1 per cell]
Al1 0.000 0.500 0.000 [2 per cell]
Ni1 0.000 0.000 0.500 [1 per cell]
Bi1 0.500 0.500 0.500 [1 per cell]

Properties
* VASP energy: -0.147 Ry per atom
* distance to the lowest polymorph of the same formula: 7.48 eV/f.u.
* DOS at the Fermi energy: 3.57 states/eV/cell

***

No. 13
The following is a DFT calculation (PBE-GGA) of NaCaB12 after structural relaxation.

a b c (Å): 8.310 8.310 8.310
angles (deg): 90.00 90.00 90.00
Space group Fm-3m (No. 225)
Unique sites:
Na1 0.000 0.000 0.000 [4 per cell]
Ca1 0.000 0.000 0.500 [4 per cell]
B1 0.100 0.250 0.250 [48 per cell]

Properties
* VASP energy: -0.455 Ry per atom
* DOS at the Fermi energy: 11.36 states/eV/cell

***

No. 14
The following is a DFT calculation (PBE-GGA) of AlSb4Br after structural relaxation.

a b c (Å): 9.087 9.087 9.087
angles (deg): 90.00 90.00 90.00
Space group F-43m (No. 216)
Unique sites:
Al1 0.000 0.000 0.000 [4 per cell]
Sb1 0.113 0.113 0.387 [16 per cell]
Br1 0.250 0.250 0.750 [4 per cell]

Properties
* VASP energy: -0.250 Ry per atom
* DOS at the Fermi energy: 4.20 states/eV/cell

***

No. 15
The following is a DFT calculation (PBE-GGA) of TlTePO after structural relaxation.

a b c (Å): 3.811 4.081 6.726
angles (deg): 92.60 106.40 90.01
Space group P1 (No. 1)
Unique sites:
Tl1 0.000 0.000 0.000 [1 per cell]
Te1 0.715 0.546 0.434 [1 per cell]
P1 0.252 0.149 0.510 [1 per cell]
O1 0.566 0.553 0.137 [1 per cell]

Properties
* VASP energy: -0.309 Ry per atom
* distance to the lowest polymorph of the same formula: 1.64 eV/f.u.